Entry 1:
DFT (PBE) results for NaNpF6 after structural relaxation.

The space group is Fm-3m (No. 225) and the conventional cell measures 8.3775, 8.3775 and 8.3775 Å, with angles of 90.00, 90.00 and 90.00 degrees. The asymmetric unit holds Na at (0.0000, 0.0000, 0.0000), Np at (0.0000, 0.0000, 0.5000) and F at (0.0000, 0.0000, 0.2549).

The value obtained for the uncorrected energy is -6.376 eV/atom.

Entry 2:
DFT (PBE) results for Ta4InSbC2 after structural relaxation.

The space group is P-6m2 (No. 187) and the conventional cell measures 3.2600, 3.2600 and 13.7774 Å, with angles of 90.00, 90.00 and 120.00 degrees. The asymmetric unit holds Ta at (0.0000, 0.0000, 0.1604), Ta at (0.3333, 0.6667, 0.3279), In at (0.0000, 0.0000, 0.5000), Sb at (0.3333, 0.6667, 0.0000) and C at (0.6667, 0.3333, 0.2444).

The value obtained for the uncorrected energy is -9.414 eV/atom.

Entry 3:
DFT (PBE) results for LuInFe2 after structural relaxation.

The space group is F-43m (No. 216) and the conventional cell measures 6.5321, 6.5321 and 6.5321 Å, with angles of 90.00, 90.00 and 90.00 degrees. The asymmetric unit holds Lu at (0.0000, 0.0000, 0.0000), In at (0.2500, 0.2500, 0.7500), Fe at (0.0000, 0.0000, 0.5000) and Fe at (0.2500, 0.2500, 0.2500).

The value obtained for the uncorrected energy is -5.807 eV/atom.

Entry 4:
DFT (PBE) results for Y2Co17 after structural relaxation.

The space group is P6_3/mmc (No. 194) and the conventional cell measures 8.2593, 8.2593 and 8.0479 Å, with angles of 90.00, 90.00 and 120.00 degrees. The asymmetric unit holds Y at (0.0000, 0.0000, 0.2500), Y at (0.3333, 0.6667, 0.2500), Co at (0.0000, 0.5000, 0.0000), Co at (0.0468, 0.3750, 0.7500), Co at (0.1666, 0.3332, 0.0223) and Co at (0.3333, 0.6667, 0.6064).

The value obtained for the energy above the most stable polymorph in this dataset is 17.6 kJ per mole of atoms. The value obtained for the uncorrected energy is -6.951 eV/atom.

Entry 5:
DFT (PBE) results for Ga2Hg after structural relaxation.

The space group is Fd-3m (No. 227, origin choice 2) and the conventional cell measures 11.8009, 11.8009 and 11.8009 Å, with angles of 90.00, 90.00 and 90.00 degrees. The asymmetric unit holds Ga at (0.0000, 0.0000, 0.0000) and Hg at (0.1250, 0.1250, 0.1250).

The value obtained for the energy above the most stable polymorph in this dataset is 56.7 kJ per mole of atoms. The value obtained for the uncorrected energy is -1.425 eV/atom.

Entry 6:
DFT (PBE) results for ReSiB4 after structural relaxation.

The space group is Immm (No. 71) and the conventional cell measures 2.9517, 5.2999 and 6.6278 Å, with angles of 90.00, 90.00 and 90.00 degrees. The asymmetric unit holds Re at (0.0000, 0.0000, 0.0000), Si at (0.0000, 0.0000, 0.5000) and B at (0.0000, 0.3378, 0.2378).

The value obtained for the energy above the most stable polymorph in this dataset is 0.0 kJ per mole of atoms. The value obtained for the uncorrected energy is -7.141 eV/atom.